Entry from Alexandria: a relaxed structure of BaPb (PBE-GGA).

a = 5.3924 Å, b = 4.8907 Å, c = 6.9841 Å
α = 90.00°, β = 112.65°, γ = 90.00°
Space group P2_1/m (No. 11)
Symmetry-distinct sites (fractional):
Ba  0.1328  0.2500  0.2667
Pb  0.4224  0.2500  0.8435

Computed properties:
The value obtained for the energy is -3.404 eV/atom. The energy of formation from the pure elements comes out at -0.588 eV per atom.

Entry from Alexandria: a relaxed structure of BaPb (PBE-GGA).

a = 4.6188 Å, b = 5.5539 Å, c = 12.3627 Å
α = 90.00°, β = 90.00°, γ = 90.00°
Space group Imma (No. 74)
Symmetry-distinct sites (fractional):
Ba  0.0000  0.2500  0.1140
Pb  0.0000  0.2500  0.6627

Computed properties:
The value obtained for the energy is -3.329 eV/atom. The energy of formation from the pure elements comes out at -0.513 eV per atom.

Entry from Alexandria: a relaxed structure of BaPb2 (PBE-GGA).

a = 13.9313 Å, b = 3.9671 Å, c = 8.9159 Å
α = 90.00°, β = 112.15°, γ = 90.00°
Space group C2/m (No. 12)
Symmetry-distinct sites (fractional):
Ba  0.1680  0.0000  0.1672
Pb  0.0509  0.5000  0.7791
Pb  0.1178  0.0000  0.5394

Computed properties:
The value obtained for the energy is -3.394 eV/atom. The energy of formation from the pure elements comes out at -0.281 eV per atom.

Entry from Alexandria: a relaxed structure of BaPb3 (PBE-GGA).

a = 6.5629 Å, b = 6.5629 Å, c = 6.5629 Å
α = 90.00°, β = 90.00°, γ = 90.00°
Space group Pm-3n (No. 223)
Symmetry-distinct sites (fractional):
Ba  0.0000  0.0000  0.0000
Pb  0.0000  0.2500  0.5000

Computed properties:
The value obtained for the energy is -3.408 eV/atom. The energy of formation from the pure elements comes out at -0.146 eV per atom.

Entry from Alexandria: a relaxed structure of BaPb3 (PBE-GGA).

a = 3.6684 Å, b = 5.8917 Å, c = 6.4782 Å
α = 90.00°, β = 91.40°, γ = 90.00°
Space group P2/m (No. 10)
Symmetry-distinct sites (fractional):
Ba  0.0000  0.0000  0.0000
Pb  0.3974  0.5000  0.7471
Pb  0.5000  0.0000  0.5000

Computed properties:
The value obtained for the energy is -3.506 eV/atom. The energy of formation from the pure elements comes out at -0.244 eV per atom.

Entry from Alexandria: a relaxed structure of BaPb2 (PBE-GGA).

a = 4.6376 Å, b = 4.6376 Å, c = 5.8235 Å
α = 90.00°, β = 90.00°, γ = 90.00°
Space group P4/mmm (No. 123)
Symmetry-distinct sites (fractional):
Ba  0.0000  0.0000  0.0000
Pb  0.0000  0.5000  0.5000

Computed properties:
The value obtained for the energy is -3.336 eV/atom. The energy of formation from the pure elements comes out at -0.222 eV per atom.

Entry from Alexandria: a relaxed structure of BaPb3 (PBE-GGA).

a = 3.8215 Å, b = 11.8192 Å, c = 6.1858 Å
α = 90.00°, β = 90.00°, γ = 90.00°
Space group Imm2 (No. 44)
Symmetry-distinct sites (fractional):
Ba  0.0000  0.0000  0.0000
Pb  0.0000  0.2330  0.3857
Pb  0.0000  0.5000  0.0086

Computed properties:
The value obtained for the energy is -3.499 eV/atom. The energy of formation from the pure elements comes out at -0.237 eV per atom.

Entry from Alexandria: a relaxed structure of Ba4Pb5 (PBE-GGA).

a = 12.3451 Å, b = 12.3451 Å, c = 4.9201 Å
α = 90.00°, β = 90.00°, γ = 90.00°
Space group I4/mmm (No. 139)
Symmetry-distinct sites (fractional):
Ba  0.0000  0.2912  0.0000
Pb  0.0000  0.0000  0.0000
Pb  0.1865  0.1865  0.5000

Computed properties:
The value obtained for the energy is -3.239 eV/atom. The energy of formation from the pure elements comes out at -0.324 eV per atom.